Density functional theory data (PBE) for a relaxed HfVRu crystal.

```
HfVRu
1.0
-2.631 -3.167 -0.555
-1.263 -2.501 4.708
-5.058 1.252 1.283
Ru Hf V
2 2 2
direct
0.670 0.796 0.864
0.330 0.204 0.136
0.939 0.808 0.314
0.061 0.192 0.686
0.668 0.425 0.238
0.332 0.575 0.762
```

SG: C2/m, No. 12
total energy: -9.71 eV/atom
total magnetic moment: 0.0 μB/cell